Record 1
5
Lattice="4.7134 0.0000 0.0000 0.0000 5.2791 0.0000 0.0000 0.0000 4.7134" Properties=species:S:1:pos:R:3 comment="PBE-GGA ZrCdTcRu2, optimized geometry" e_form_ev_per_atom=1.820 spacegroup="No. 123" pbc="T T T"
Ru 0.0000 0.0000 2.3567
Ru 2.3567 0.0000 0.0000
Tc 2.3567 2.6396 2.3567
Zr 0.0000 0.0000 0.0000
Cd 0.0000 2.6396 0.0000

=====

Record 2
4
Lattice="4.0265 0.0000 0.0000 0.0000 4.6688 -0.5969 0.0000 -1.6843 5.9751" Properties=species:S:1:pos:R:3 comment="PBE-GGA CdTe2Ru, optimized geometry" relative_energy_mev_per_atom=70.0 spacegroup="No. 6" pbc="T T T"
Cd 0.0000 2.2586 1.4971
Ru 2.0133 2.4871 3.6777
Te 0.0000 2.6857 5.2693
Te 2.0133 0.0299 3.0014

=====

Record 3
4
Lattice="5.0241 0.0000 0.0000 2.5121 4.3510 0.0000 2.5121 1.4503 4.1022" Properties=species:S:1:pos:R:3 comment="PBE-GGA CdTe2Ru, optimized geometry" relative_energy_mev_per_atom=721.4 spacegroup="No. 216" pbc="T T T"
Cd 5.0241 2.9007 2.0511
Ru 7.5362 4.3510 3.0766
Te 0.0000 0.0000 0.0000
Te 2.5121 1.4503 1.0255

=====

Record 4
4
Lattice="3.9627 0.0000 0.0000 0.0000 7.1187 -0.0162 0.0000 4.6663 3.3894" Properties=species:S:1:pos:R:3 comment="PBE-GGA CdTe2Ru, optimized geometry" relative_energy_mev_per_atom=301.3 spacegroup="No. 10" pbc="T T T"
Cd 1.9813 5.8925 1.6866
Ru 0.0000 2.3332 1.6947
Te 0.0000 0.0000 0.0000
Te 1.9813 3.5593 -0.0081

=====

Record 5
4
Lattice="-0.5836 4.9262 -0.7915 -1.0014 -0.8963 -4.8399 -3.3683 -0.2788 0.7485" Properties=species:S:1:pos:R:3 comment="PBE-GGA CdTe2Ru, optimized geometry" relative_energy_mev_per_atom=492.4 spacegroup="No. 123" pbc="T T T"
Cd -1.9760 2.3237 -0.0215
Ru -2.1848 -0.5875 -2.0457
Te 0.0000 0.0000 0.0000
Te -0.7925 2.0149 -2.8157

=====

Record 6
4
Lattice="-3.1070 2.5307 3.0068 -1.7152 -4.6949 0.3396 2.1857 -0.5994 2.7645" Properties=species:S:1:pos:R:3 comment="PBE-GGA CdTe2Ru, optimized geometry" relative_energy_mev_per_atom=466.7 spacegroup="No. 65" pbc="T T T"
Cd -0.4607 0.9657 2.8856
Ru 0.2353 -2.6472 1.5520
Te 0.0000 0.0000 0.0000
Te -2.4111 -1.0821 1.6732

=====

Record 7
4
Lattice="3.2307 0.0000 0.0000 0.0000 3.2308 0.0000 0.0000 0.0000 9.5025" Properties=species:S:1:pos:R:3 comment="PBE-GGA CdTe2Ru, optimized geometry" relative_energy_mev_per_atom=163.1 spacegroup="No. 123" pbc="T T T"
Cd 1.6154 1.6154 2.3756
Ru 1.6154 1.6154 7.1268
Te 0.0000 0.0000 8.8011
Te 0.0000 0.0000 5.4526

=====

Record 8
4
Lattice="0.0000 3.5118 3.5118 3.5118 0.0000 3.5118 3.5118 3.5118 0.0000" Properties=species:S:1:pos:R:3 comment="PBE-GGA CdTe2Ru, optimized geometry" relative_energy_mev_per_atom=380.7 spacegroup="No. 225" pbc="T T T"
Ru 0.0000 0.0000 0.0000
Te 1.7559 1.7559 1.7559
Te 5.2677 5.2677 5.2677
Cd 3.5118 3.5118 3.5118

=====

no.,density of states at the Fermi level (states/eV/atom)
1,1.1644
2,0.7680
3,1.1275
4,1.2605
5,0.9482
6,0.5788
7,0.7214
8,0.2861